Record 1
A relaxed structure of PtICl. Source: the Alexandria database, functional PBE-GGA.

Unit cell a=3.691 b=7.471 c=6.747 alpha=76.27 beta=87.82 gamma=87.02
Element x y z (fractional)
I: 0.202 0.341 0.330
I: 0.174 0.912 0.896
Pt: 0.944 0.028 0.223
Pt: 0.432 0.225 0.003
Cl: 0.910 0.403 0.807
Cl: 0.466 0.850 0.419

Properties
The uncorrected energy comes out at -9.72 eV per formula unit. The calculation puts the energy relative to the elements, uncorrected at -0.094 eV per atom. As for the space group: No. 2. The value obtained for the density is 6.58 g/cm3. The calculation puts the density of states at the Fermi level at 2.4 states/eV per cell. For the offset from the most stable computed form, the calculation gives 0.0617 eV per atom.


Record 2
A relaxed structure of Nd2Sm2InGa4. Source: the Alexandria database, functional PBE-GGA.

Unit cell a=6.902 b=6.902 c=6.902 alpha=95.10 beta=117.10 gamma=117.10
Element x y z (fractional)
Ga: 0.000 0.741 0.259
Ga: 0.000 0.259 0.741
Ga: 0.483 0.741 0.741
Ga: 0.517 0.259 0.259
In: 0.000 0.000 0.000
Sm: 0.000 0.315 0.315
Sm: 0.000 0.685 0.685
Nd: 0.500 0.750 0.250
Nd: 0.500 0.250 0.750

Properties
The uncorrected energy comes out at -35.73 eV per formula unit. As for the space group: No. 139. The value obtained for the density is 6.75 g/cm3. The calculation puts the density of states at the Fermi level at 8.5 states/eV per cell. Its energy of formation is -0.212 eV/atom.


Record 3
A relaxed structure of Nd2In8Pd. Source: the Alexandria database, functional PBE-GGA.

Unit cell a=4.729 b=4.729 c=12.300 alpha=90.00 beta=90.00 gamma=90.00
Element x y z (fractional)
In: 0.500 0.000 0.124
In: 0.000 0.000 0.691
In: 0.000 0.000 0.309
In: 0.000 0.500 0.876
In: 0.500 0.000 0.876
In: 0.500 0.000 0.500
In: 0.000 0.500 0.124
In: 0.000 0.500 0.500
Nd: 0.500 0.500 0.691
Nd: 0.500 0.500 0.309
Pd: 0.500 0.500 0.000

Properties
The uncorrected energy comes out at -41.61 eV per formula unit. As for the space group: No. 123. The value obtained for the density is 7.93 g/cm3. The calculation puts the density of states at the Fermi level at 5.6 states/eV per cell. Its energy of formation is -0.452 eV/atom.


Record 4
A relaxed structure of Na3Er2HfTe6. Source: the Alexandria database, functional PBE-GGA.

Unit cell a=7.425 b=7.425 c=8.026 alpha=98.89 beta=98.89 gamma=120.01
Element x y z (fractional)
Te: 0.603 0.924 0.772
Te: 0.244 0.244 0.772
Te: 0.756 0.756 0.228
Te: 0.924 0.603 0.772
Te: 0.397 0.076 0.228
Te: 0.076 0.397 0.228
Na: 0.500 0.500 0.500
Na: 0.171 0.829 0.500
Na: 0.829 0.171 0.500
Hf: 0.000 0.000 0.000
Er: 0.334 0.666 0.000
Er: 0.666 0.334 0.000

Properties
The uncorrected energy comes out at -55.35 eV per formula unit. The calculation puts the energy relative to the elements, uncorrected at -1.122 eV per atom. As for the space group: No. 12. The value obtained for the density is 6.14 g/cm3. The calculation puts the density of states at the Fermi level at 4.5 states/eV per cell.


Record 5
A relaxed structure of ErBIrRh2. Source: the Alexandria database, functional PBE-GGA.

Unit cell a=4.182 b=4.208 c=4.208 alpha=90.00 beta=90.00 gamma=90.00
Element x y z (fractional)
Ir: 0.500 0.000 0.000
Er: 0.500 0.500 0.500
Rh: 0.000 0.000 0.500
Rh: 0.000 0.500 0.000
B: 0.000 0.000 0.000

Properties
The uncorrected energy comes out at -38.71 eV per formula unit. As for the space group: No. 123. The value obtained for the density is 12.92 g/cm3. The calculation puts the density of states at the Fermi level at 4.0 states/eV per cell. Its energy of formation is -0.782 eV/atom.


Record 6
A relaxed structure of Pm4SnB. Source: the Alexandria database, functional PBE-GGA.

Unit cell a=4.900 b=4.900 c=7.198 alpha=90.00 beta=90.00 gamma=90.00
Element x y z (fractional)
Pm: 0.500 0.000 0.285
Pm: 0.000 0.500 0.285
Pm: 0.000 0.500 0.715
Pm: 0.500 0.000 0.715
B: 0.500 0.500 0.500
Sn: 0.000 0.000 0.000

Properties
The uncorrected energy comes out at -30.30 eV per formula unit. As for the space group: No. 123. The value obtained for the density is 6.82 g/cm3. The calculation puts the density of states at the Fermi level at 4.4 states/eV per cell. Its energy of formation is -0.103 eV/atom.


> Look up the uncorrected energy of the third one.

-41.61 eV per formula unit


> Which formula does entry 2 have?

Nd2Sm2InGa4


> Which value of uncorrected energy does entry 4 give?

-55.35 eV per formula unit


> Look up the uncorrected energy of the second one.

-35.73 eV per formula unit